A relaxed Cs2Co3PdF12 crystal. Source: Alexandria via LeMat-Bulk, functional GGA+U.

The space group is R-3m (No. 166, hexagonal axes) and the conventional cell measures 7.2681, 7.2681 and 18.2655 Å, with angles of 90.00, 90.00 and 120.00 degrees. The asymmetric unit holds Cs at (0.0000, 0.0000, 0.1182), Co at (0.0000, 0.5000, 0.0000), Pd at (0.0000, 0.0000, 0.5000), F at (0.0407, 0.5203, 0.1030) and F at (0.0747, 0.5373, 0.3463).

The value obtained for the energy is -4.446 eV/atom.